KSc2P | PBE | optimized geometry

Structure (POSCAR):
```
KSc2P
1.0
-3.542 -0.888 0.817
-2.050 -1.960 -2.441
1.294 -9.387 3.681
Sc K P
2 1 1
Cartesian
-2.507 -5.190 0.560
-5.234 -3.775 -1.155
-3.224 -9.176 1.543
-1.075 -3.059 0.514
```

Calculated values
ΔE_f: -0.492 eV per atom
Size of the total moment: 0.0 μB per formula unit
Space group: C2/m, No. 12